1.
DFT (PBE) results for CaCuIrO5 after structural relaxation.

E = -6.1900 eV/atom
Magnetization = 0.10 μB/atom

```
CaCuIrO5
1.0
5.669 -0.244 -0.015
-1.888 5.351 -0.015
-1.586 -2.142 6.730
O Ir Cu Ca
10 2 2 2
Direct
0.732 0.639 0.434
0.289 0.906 0.596
0.361 0.268 0.066
0.906 0.289 0.096
0.268 0.361 0.566
0.639 0.732 0.934
0.094 0.711 0.904
0.918 0.082 0.750
0.082 0.918 0.250
0.711 0.094 0.404
0.000 0.000 0.000
0.000 0.000 0.500
0.684 0.316 0.250
0.316 0.684 0.750
0.664 0.336 0.750
0.336 0.664 0.250
```



2.
DFT (PBE) results for Ca3CuIrO6 after structural relaxation.

E = -6.3414 eV/atom
Magnetization = 0.16 μB/atom

```
Ca3CuIrO6
1.0
6.547 -0.010 -0.002
-0.146 6.545 -0.002
0.001 0.001 6.507
Ca O Cu Ir
6 12 2 2
Direct
0.739 0.891 0.381
0.596 0.404 0.250
0.404 0.596 0.750
0.109 0.261 0.119
0.261 0.109 0.619
0.891 0.739 0.881
0.097 0.793 0.545
0.033 0.402 0.793
0.423 0.290 0.936
0.793 0.097 0.045
0.402 0.033 0.293
0.577 0.710 0.064
0.967 0.598 0.207
0.598 0.967 0.707
0.903 0.207 0.455
0.290 0.423 0.436
0.207 0.903 0.955
0.710 0.577 0.564
0.811 0.189 0.750
0.189 0.811 0.250
0.000 0.500 0.500
0.500 0.000 0.000
```



3.
DFT (PBE) results for Ca2CuP4Ir3 after structural relaxation.

Energy of formation from the pure elements = -720 meV per atom
Magnetization = 0.00 μB/atom

```
Ca2CuP4Ir3
1.0
-0.143 2.201 -3.518
0.800 -3.439 -2.184
-9.404 -1.739 -0.705
P Ir Ca Cu
4 3 2 1
Direct
0.000 0.500 0.363
0.500 0.500 0.000
0.500 0.000 0.637
0.000 0.000 0.000
0.000 0.500 0.116
0.500 0.000 0.884
0.000 0.000 0.500
0.000 0.500 0.753
0.500 0.000 0.247
0.500 0.500 0.500
```



4.
DFT (PBE) results for CaCuPIr2 after structural relaxation.

Energy of formation from the pure elements = -152 meV per atom
Magnetization = 0.00 μB/atom

```
CaCuPIr2
1.0
-2.438 -1.499 3.447
-0.290 -4.009 -1.949
3.747 -1.288 2.091
Cu Ir Ca P
1 2 1 1
Direct
0.000 0.500 0.000
0.500 0.000 0.000
0.000 0.000 0.500
0.500 0.500 0.500
0.000 0.000 0.000
```



5.
DFT (PBE) results for CaCuIrPt2 after structural relaxation.

Energy of formation from the pure elements = 762 meV per atom
Magnetization = 0.00 μB/atom

```
CaCuIrPt2
1.0
4.581 0.000 0.000
0.000 4.669 0.000
0.000 0.000 4.581
Cu Ca Pt Ir
1 1 2 1
Direct
0.000 0.000 0.000
0.000 0.500 0.000
0.000 0.000 0.500
0.500 0.000 0.000
0.500 0.500 0.500
```



6.
DFT (PBE) results for CaCuSbIr2 after structural relaxation.

E = -4.4488 eV/atom
Magnetization = 0.00 μB/atom

```
CaCuSbIr2
1.0
-2.732 2.948 -2.777
-0.962 -4.242 -3.556
-3.962 -1.254 2.568
Ir Cu Ca Sb
2 1 1 1
Direct
0.000 0.000 0.500
0.500 0.000 0.000
0.500 0.500 0.500
0.000 0.500 0.000
0.000 0.000 0.000
```



7.
DFT (PBE) results for CaSmCuIr after structural relaxation.

Energy above the lowest structure with this stoichiometry = 71 meV per atom
Energy of formation from the pure elements = -344 meV per atom
Magnetization = 0.00 μB/atom

```
CaSmCuIr
1.0
-4.310 2.401 0.129
-2.532 0.751 -4.169
-4.211 -2.444 -0.803
Sm Cu Ca Ir
1 1 1 1
Direct
0.500 0.500 0.500
0.250 0.250 0.250
0.000 0.000 0.000
0.750 0.750 0.750
```



8.
DFT (PBE) results for CaSmCuIr after structural relaxation.

Energy above the lowest structure with this stoichiometry = 0 meV per atom
Energy of formation from the pure elements = -415 meV per atom
Magnetization = 0.00 μB/atom

```
CaSmCuIr
1.0
4.026 0.000 0.000
0.000 4.138 0.000
-2.013 0.000 5.488
Sm Cu Ir Ca
1 1 1 1
Direct
0.139 0.000 0.278
0.432 0.000 0.863
0.573 0.500 0.147
0.856 0.500 0.712
```



9.
DFT (PBE) results for Ca2Cu3Sn4Ir after structural relaxation.

Energy of formation from the pure elements = -307 meV per atom
Magnetization = 0.00 μB/atom

```
Ca2Cu3Sn4Ir
1.0
4.504 0.000 0.000
0.000 4.504 0.000
0.000 0.000 10.769
Sn Cu Ca Ir
4 3 2 1
Direct
0.000 0.500 0.372
0.500 0.000 0.628
0.500 0.500 0.000
0.000 0.000 0.000
0.000 0.000 0.500
0.000 0.500 0.136
0.500 0.000 0.864
0.000 0.500 0.738
0.500 0.000 0.262
0.500 0.500 0.500
```



10.
DFT (PBE) results for Ca2CuSn4Ir3 after structural relaxation.

Energy of formation from the pure elements = -386 meV per atom
Magnetization = 0.00 μB/atom

```
Ca2CuSn4Ir3
1.0
4.494 0.000 0.000
0.000 4.494 0.000
0.000 0.000 10.961
Ca Ir Sn Cu
2 3 4 1
Direct
0.000 0.500 0.746
0.500 0.000 0.254
0.000 0.000 0.500
0.500 0.000 0.867
0.000 0.500 0.133
0.000 0.000 0.000
0.000 0.500 0.372
0.500 0.000 0.628
0.500 0.500 0.000
0.500 0.500 0.500
```



11.
DFT (PBE) results for Ca2CuTcIr after structural relaxation.

Energy of formation from the pure elements = 941 meV per atom
Magnetization = 0.68 μB/atom

```
Ca2CuTcIr
1.0
-2.359 3.781 2.468
-3.342 0.011 -3.210
-2.625 -3.414 2.721
Ir Tc Cu Ca
1 1 1 2
Direct
0.000 0.500 0.000
0.500 0.500 0.500
0.000 0.000 0.000
0.500 0.000 0.000
0.000 0.000 0.500
```



12.
DFT (PBE) results for CaTmCuIr after structural relaxation.

Energy of formation from the pure elements = -406 meV per atom
Magnetization = 0.00 μB/atom

```
CaTmCuIr
1.0
4.834 0.000 0.000
2.417 4.186 0.000
2.417 1.395 3.947
Ca Ir Tm Cu
1 1 1 1
Direct
0.500 0.500 0.500
0.750 0.750 0.750
0.000 0.000 0.000
0.250 0.250 0.250
```